BaCdGaF7 | GGA-PBE | relaxed

abc: 13.6904 5.2923 14.7758
angles: 90.00 91.68 90.00
Space group C2/c (No. 15)
Asymmetric unit:
Ba (0.1935, 0.0328, 0.1237)
Cd (0.0000, 0.4534, 0.7500)
Cd (0.0000, 0.5000, 0.0000)
Ga (0.1243, 0.0103, 0.8751)
F (0.0057, 0.1098, 0.6534)
F (0.0619, 0.3878, 0.1296)
F (0.0887, 0.1535, 0.4832)
F (0.1286, 0.2751, 0.2995)
F (0.1382, 0.3112, 0.9505)
F (0.1634, 0.2225, 0.7758)
F (0.2437, 0.4503, 0.5907)

final energy: -0.3515 Ry per atom

GdScAs | GGA-PBE | relaxed

abc: 4.0296 4.0296 32.9667
angles: 90.00 90.00 120.00
Space group R-3m (No. 166, hexagonal axes)
Asymmetric unit:
Gd (0.0000, 0.0000, 0.1234)
Sc (0.0000, 0.0000, 0.3013)
As (0.0000, 0.0000, 0.4022)

spin magnetization: 2.83 Bohr magnetons per cell
final energy: -0.4435 Ry per atom
ΔE to the lowest computed polymorph: 0.000 eV per atom

KZrCuS3 | GGA-PBE | relaxed

abc: 8.0450 3.7729 9.6586
angles: 90.00 112.14 90.00
Space group P2_1/m (No. 11)
Asymmetric unit:
K (0.2437, 0.2500, 0.2115)
Zr (0.1912, 0.7500, 0.6643)
Cu (0.4157, 0.2500, 0.9002)
S (0.0478, 0.7500, 0.3679)
S (0.2655, 0.7500, 0.9432)
S (0.4054, 0.2500, 0.6586)

spin magnetization: 0.00 Bohr magnetons per cell
final energy: -0.4076 Ry per atom

PrBeAsO | GGA-PBE | relaxed

abc: 4.2786 6.2057 5.7470
angles: 90.00 90.00 90.00
Space group Pmc2_1 (No. 26)
Asymmetric unit:
Pr (0.0000, 0.2480, 0.0000)
Be (0.5000, 0.1062, 0.6232)
As (0.0000, 0.2701, 0.5092)
O (0.5000, 0.0926, 0.9240)

spin magnetization: 0.00 Bohr magnetons per cell
final energy: -0.4578 Ry per atom
ΔE to the lowest computed polymorph: 0.056 eV per atom

TmTlCd | GGA-PBE | relaxed

abc: 7.0938 7.0938 7.0938
angles: 90.00 90.00 90.00
Space group F-43m (No. 216)
Asymmetric unit:
Tm (0.0000, 0.0000, 0.0000)
Tl (0.2500, 0.2500, 0.2500)
Cd (0.2500, 0.2500, 0.7500)

spin magnetization: 0.00 Bohr magnetons per cell
final energy: -0.1819 Ry per atom

NdGdFe2Ge2C | GGA-PBE | relaxed

abc: 10.8393 4.0277 6.9670
angles: 90.00 128.97 90.00
Space group Cm (No. 8)
Asymmetric unit:
Nd (0.0000, 0.0000, 0.0000)
Gd (0.3844, 0.5000, 0.4174)
Fe (0.1339, 0.5000, 0.7909)
Fe (0.2458, 0.0000, 0.6172)
Ge (0.1082, 0.5000, 0.4266)
Ge (0.2737, 0.0000, 0.9868)
C (0.4385, 0.0000, 0.6988)

spin magnetization: 0.03 Bohr magnetons per cell
final energy: -0.5097 Ry per atom

BaPuCo | GGA-PBE | relaxed

abc: 7.0611 7.0611 7.0611
angles: 90.00 90.00 90.00
Space group F-43m (No. 216)
Asymmetric unit:
Ba (0.0000, 0.0000, 0.0000)
Pu (0.0000, 0.0000, 0.5000)
Co (0.2500, 0.2500, 0.2500)

spin magnetization: 21.30 Bohr magnetons per cell
final energy: -0.5276 Ry per atom
ΔE to the lowest computed polymorph: 0.000 eV per atom

Gd2Mg3CdPd2 | GGA-PBE | relaxed

abc: 15.1153 4.6833 5.2880
angles: 90.00 102.88 90.00
Space group Cm (No. 8)
Asymmetric unit:
Gd (0.0000, 0.0000, 0.0000)
Gd (0.1979, 0.0000, 0.5995)
Mg (0.1598, 0.5000, 0.0636)
Mg (0.3401, 0.0000, 0.1482)
Mg (0.3624, 0.5000, 0.4420)
Cd (0.0470, 0.5000, 0.4988)
Pd (0.3091, 0.5000, 0.8914)
Pd (0.3929, 0.0000, 0.6988)

spin magnetization: 0.01 Bohr magnetons per cell
final energy: -0.2645 Ry per atom